Record 1
BaY4Rh (GGA-PBE, relaxed); density = 5.11 g/cm3; DFT formation energy = 602 meV/atom; SG = F-43m, No. 216; final energy = -5.253 eV/atom
1.0
0.000 4.592 4.592
4.592 0.000 4.592
4.592 4.592 0.000
Ba Y Rh
1 4 1
Direct
0.000 0.000 0.000
0.377 0.377 0.377
0.377 0.377 0.870
0.377 0.870 0.377
0.870 0.377 0.377
0.750 0.750 0.750

Record 2
BaYRh3 (GGA-PBE, relaxed); density = 6.77 g/cm3; DFT formation energy = 381 meV/atom; SG = Pm-3m, No. 221; final energy = -5.707 eV/atom; ΔE to the lowest computed polymorph = 0 meV/atom
1.0
5.081 0.000 0.000
0.000 5.081 0.000
0.000 0.000 5.081
Ba Y Rh
1 1 3
Direct
0.000 0.000 0.000
0.500 0.500 0.500
0.000 0.500 0.500
0.500 0.000 0.500
0.500 0.500 0.000